No. 1
Here is a geometry-optimized La6NdSm5 structure from the Alexandria database. Energies are from GGA-PBE.

Cell: 6.413 8.211 8.211 Å, 84.85 97.37 97.37°
Fractional coordinates of all 12 atoms:
1 La 0.251 0.750 0.750
2 La 0.750 0.916 0.583
3 Sm 0.000 0.666 0.334
4 La 0.250 0.084 0.417
5 Nd 0.000 0.000 0.000
6 La 0.250 0.417 0.084
7 La 0.749 0.250 0.250
8 Sm 0.500 0.167 0.833
9 Sm 0.500 0.500 0.500
10 La 0.750 0.583 0.916
11 Sm 0.500 0.833 0.167
12 Sm 0.000 0.334 0.666

Crystal system: monoclinic
ΔH_f (0 K): 10 meV per atom
Raw total energy: -4.8176 eV per atom


No. 2
Here is a geometry-optimized Fe2TcPt structure from the Alexandria database. Energies are from GGA-PBE.

Cell: 4.328 2.621 4.897 Å, 85.99 90.00 90.00°
Each line ends with the local moment (μB).
Fractional coordinates of all 4 atoms:
1 Pt 0.500 0.250 0.250  0.18
2 Fe 0.000 0.469 0.515  2.68
3 Tc 0.500 0.750 0.750  -0.01
4 Fe 0.000 0.031 0.985  2.68

Crystal system: monoclinic
ΔH_f (0 K): 77 meV per atom
Raw total energy: -8.2556 eV per atom


No. 3
Here is a geometry-optimized CsInSn2F8 structure from the Alexandria database. Energies are from GGA-PBE.

Cell: 5.471 5.281 8.523 Å, 92.71 95.90 87.56°
Fractional coordinates of all 12 atoms:
1 F 0.795 0.180 0.172
2 F 0.144 0.757 0.180
3 F 0.856 0.243 0.820
4 F 0.205 0.820 0.828
5 F 0.390 0.291 0.404
6 Sn 0.494 0.497 0.770
7 F 0.709 0.738 0.941
8 Cs 0.000 0.000 0.500
9 F 0.291 0.262 0.059
10 In 0.000 0.000 0.000
11 Sn 0.506 0.503 0.230
12 F 0.610 0.709 0.596

Crystal system: triclinic
Raw total energy: -4.6737 eV per atom


> raw total energy of number 1 (La6NdSm5)?

-4.8176 eV per atom